Entry 1:
{
  "formula": "AlCrAs2",
  "functional": "PBE",
  "state": "relaxed",
  "formation_energy_ev_per_fu": 0.5,
  "magnetic_moment_mub_per_cell": 0.89,
  "volume_a3_per_atom": 18.89,
  "density_g_cm3": 5.03,
  "final_energy_ev_per_atom": -5.553,
  "cell": [[-3.696, 0.881, -2.178], [-3.033, -2.283, -2.184], [-4.359, -0.922, 3.972]],
  "species": ["Cr", "As", "As", "Al"],
  "frac_coords": [[0.487, 0.487, 0.471], [0.014, 0.014, 0.118], [0.748, 0.748, 0.629], [0.252, 0.252, 0.282]]
}

Entry 2:
{
  "formula": "AlCrAs2",
  "functional": "PBE",
  "state": "relaxed",
  "formation_energy_ev_per_fu": 1.6,
  "magnetic_moment_mub_per_cell": 3.64,
  "volume_a3_per_atom": 17.78,
  "density_g_cm3": 5.34,
  "final_energy_ev_per_atom": -5.269,
  "cell": [[-0.996, -4.304, -1.454], [2.092, -1.720, -3.781], [3.157, -3.388, 0.428]],
  "species": ["Cr", "As", "As", "Al"],
  "frac_coords": [[0.750, 0.750, 0.750], [0.000, 0.000, 0.000], [0.250, 0.250, 0.250], [0.500, 0.500, 0.500]]
}

Entry 3:
{
  "formula": "Al2CrAs",
  "functional": "PBE",
  "state": "relaxed",
  "formation_energy_ev_per_fu": 0.3,
  "magnetic_moment_mub_per_cell": 0.59,
  "volume_a3_per_atom": 15.83,
  "density_g_cm3": 4.74,
  "final_energy_ev_per_atom": -5.359,
  "cell": [[8.174, 0.015, 0.009], [7.608, 2.988, 0.009], [7.608, 1.448, 2.614]],
  "species": ["Cr", "As", "Al", "Al"],
  "frac_coords": [[0.754, 0.754, 0.754], [0.490, 0.490, 0.490], [0.007, 0.007, 0.007], [0.248, 0.248, 0.248]]
}

Entry 4:
{
  "formula": "Al2CrAs",
  "functional": "PBE",
  "state": "relaxed",
  "formation_energy_ev_per_fu": 0.0,
  "magnetic_moment_mub_per_cell": 0.00,
  "volume_a3_per_atom": 15.66,
  "density_g_cm3": 4.80,
  "final_energy_ev_per_atom": -5.449,
  "cell": [[-1.367, -0.969, 2.963], [-0.717, -3.229, -1.387], [4.226, -3.300, 0.870]],
  "species": ["Cr", "As", "Al", "Al"],
  "frac_coords": [[0.500, 0.542, 0.790], [0.000, 0.706, 0.463], [0.000, 0.961, 0.953], [0.500, 0.290, 0.295]]
}

Entry 5:
{
  "formula": "Al2CrAs",
  "functional": "PBE",
  "state": "relaxed",
  "formation_energy_ev_per_fu": 0.2,
  "magnetic_moment_mub_per_cell": 2.83,
  "volume_a3_per_atom": 15.75,
  "density_g_cm3": 4.77,
  "final_energy_ev_per_atom": -5.383,
  "cell": [[4.969, 0.030, -0.226], [1.873, 4.603, 0.226], [-3.113, -2.771, 2.716]],
  "species": ["Cr", "As", "Al", "Al"],
  "frac_coords": [[0.749, 0.249, 0.500], [0.504, 0.504, 0.000], [0.995, 0.995, 0.000], [0.252, 0.752, 0.500]]
}

Entry 6:
{
  "formula": "AlCrAs2",
  "functional": "PBE",
  "state": "relaxed",
  "formation_energy_ev_per_fu": 0.5,
  "magnetic_moment_mub_per_cell": 3.18,
  "volume_a3_per_atom": 16.95,
  "density_g_cm3": 5.60,
  "final_energy_ev_per_atom": -5.533,
  "cell": [[4.474, -0.032, 0.000], [-1.026, 4.355, 0.000], [0.000, 0.000, 3.487]],
  "species": ["Cr", "As", "As", "Al"],
  "frac_coords": [[0.500, 0.000, 0.500], [0.000, 0.000, 0.000], [0.500, 0.500, 0.000], [0.000, 0.500, 0.500]]
}

Entry 7:
{
  "formula": "Al2CrAs",
  "functional": "PBE",
  "state": "relaxed",
  "formation_energy_ev_per_fu": 0.0,
  "magnetic_moment_mub_per_cell": 0.01,
  "volume_a3_per_atom": 14.48,
  "density_g_cm3": 5.19,
  "final_energy_ev_per_atom": -5.435,
  "cell": [[3.347, 0.000, 0.000], [0.000, 3.362, 0.029], [0.000, 3.318, 5.177]],
  "species": ["Cr", "As", "Al", "Al"],
  "frac_coords": [[0.500, 0.750, 0.750], [0.500, 0.250, 0.250], [0.000, 0.011, 0.989], [0.000, 0.489, 0.511]]
}

Entry 8:
{
  "formula": "AlCrAs3",
  "functional": "PBE",
  "state": "relaxed",
  "formation_energy_ev_per_fu": 2.1,
  "relative_energy_ev_per_atom": 0.000,
  "magnetic_moment_mub_per_cell": 0.56,
  "volume_a3_per_atom": 20.64,
  "density_g_cm3": 4.89,
  "final_energy_ev_per_atom": -5.036,
  "cell": [[4.691, 0.000, 0.000], [0.000, 4.691, 0.000], [0.000, 0.000, 4.691]],
  "species": ["Cr", "As", "As", "As", "Al"],
  "frac_coords": [[0.000, 0.000, 0.000], [0.000, 0.500, 0.000], [0.000, 0.000, 0.500], [0.500, 0.000, 0.000], [0.500, 0.500, 0.500]]
}

Entry 9:
{
  "formula": "Al2CrAs",
  "functional": "PBE",
  "state": "relaxed",
  "formation_energy_ev_per_fu": 0.2,
  "magnetic_moment_mub_per_cell": 0.00,
  "volume_a3_per_atom": 14.91,
  "density_g_cm3": 5.04,
  "final_energy_ev_per_atom": -5.378,
  "cell": [[-1.125, -2.464, 1.749], [-0.544, -1.671, -2.703], [5.287, -2.202, 0.298]],
  "species": ["Cr", "As", "Al", "Al"],
  "frac_coords": [[0.500, 0.500, 0.729], [0.000, 0.000, 0.534], [0.000, 0.000, 0.982], [0.500, 0.500, 0.255]]
}

Entry 10:
{
  "formula": "AlCrAs2",
  "functional": "PBE",
  "state": "relaxed",
  "formation_energy_ev_per_fu": 0.7,
  "magnetic_moment_mub_per_cell": 3.28,
  "volume_a3_per_atom": 16.83,
  "density_g_cm3": 5.64,
  "final_energy_ev_per_atom": -5.502,
  "cell": [[3.413, 0.000, 0.000], [0.000, 4.441, 0.000], [0.000, 0.000, 4.441]],
  "species": ["Cr", "As", "As", "Al"],
  "frac_coords": [[0.500, 0.500, 0.000], [0.000, 0.000, 0.000], [0.000, 0.500, 0.500], [0.500, 0.000, 0.500]]
}

Entry 11:
{
  "formula": "AlCrAs2",
  "functional": "PBE",
  "state": "relaxed",
  "formation_energy_ev_per_fu": 0.0,
  "magnetic_moment_mub_per_cell": 2.68,
  "volume_a3_per_atom": 17.57,
  "density_g_cm3": 5.41,
  "final_energy_ev_per_atom": -5.657,
  "cell": [[-1.463, 4.354, -4.428], [0.791, 0.454, -6.314], [-1.844, -3.452, 5.038]],
  "species": ["Cr", "As", "As", "Al"],
  "frac_coords": [[0.544, 0.544, 0.000], [0.964, 0.964, 0.000], [0.703, 0.203, 0.500], [0.289, 0.789, 0.500]]
}

Entry 12:
{
  "formula": "AlCr2As2",
  "functional": "PBE",
  "state": "relaxed",
  "formation_energy_ev_per_fu": 0.4,
  "relative_energy_ev_per_atom": 0.000,
  "magnetic_moment_mub_per_cell": 5.68,
  "volume_a3_per_atom": 14.84,
  "density_g_cm3": 6.28,
  "final_energy_ev_per_atom": -6.370,
  "cell": [[-2.808, -6.090, -1.254], [4.324, -2.901, 4.408], [-2.088, 0.477, 2.362]],
  "species": ["Cr", "Cr", "Cr", "Cr", "As", "As", "As", "As", "Al", "Al"],
  "frac_coords": [[0.358, 0.858, 0.000], [0.858, 0.642, 0.000], [0.642, 0.142, 0.000], [0.142, 0.358, 0.000], [0.154, 0.654, 0.500], [0.654, 0.846, 0.500], [0.846, 0.346, 0.500], [0.346, 0.154, 0.500], [0.000, 0.000, 0.000], [0.500, 0.500, 0.000]]
}

What did the tenth record say?
{
  "formula": "AlCrAs2",
  "functional": "PBE",
  "state": "relaxed",
  "formation_energy_ev_per_fu": 0.7,
  "magnetic_moment_mub_per_cell": 3.28,
  "volume_a3_per_atom": 16.83,
  "density_g_cm3": 5.64,
  "final_energy_ev_per_atom": -5.502,
  "cell": [[3.413, 0.000, 0.000], [0.000, 4.441, 0.000], [0.000, 0.000, 4.441]],
  "species": ["Cr", "As", "As", "Al"],
  "frac_coords": [[0.500, 0.500, 0.000], [0.000, 0.000, 0.000], [0.000, 0.500, 0.500], [0.500, 0.000, 0.500]]
}

Q: Which formula does entry 12 have?
A: AlCr2As2